Entry from Alexandria: a relaxed LaMoIN2 crystal (PBE).

Structure (CIF):
```
data_LaMoIN2
_cell_length_a 4.3617
_cell_length_b 4.3617
_cell_length_c 6.7178
_cell_angle_alpha 90.00
_cell_angle_beta 90.00
_cell_angle_gamma 90.00
_space_group_name_H-M_alt 'P 4/m m m'
_space_group_IT_number 123
_space_group_name_Hall '-P 4 2'
loop_
_atom_site_label
_atom_site_type_symbol
_atom_site_fract_x
_atom_site_fract_y
_atom_site_fract_z
_atom_site_occupancy
La1 La 0.0000 0.0000 0.0000 1
Mo1 Mo 0.5000 0.5000 0.5000 1
I1 I 0.0000 0.0000 0.5000 1
N1 N 0.0000 0.5000 0.0000 1
```

Summary:
total DFT energy (no corrections)	-28.003	eV per cell
ΔE_f (raw)	1.191	eV per atom